# Pa3Al2Ga3 PBE-GGA optimized geometry
data_Pa3Al2Ga3
_space_group_name_H-M_alt 'I m m m'
_space_group_IT_number 71
_space_group_name_Hall '-I 2 2'
_cell_length_a 4.231
_cell_length_b 4.359
_cell_length_c 18.018
_cell_angle_alpha 90.00
_cell_angle_beta 90.00
_cell_angle_gamma 90.00
loop_
_atom_site_label
_atom_site_fract_x
_atom_site_fract_y
_atom_site_fract_z
_atom_site_occupancy
Pa1 0.000 0.000 0.000 1
Pa2 0.000 0.500 0.375 1
Al1 0.000 0.000 0.253 1
Ga1 0.000 0.000 0.500 1
Ga2 0.000 0.500 0.129 1
# ΔE_f: -0.166 eV per atom
# relative energy among the computed polymorphs: 0.027 eV per atom
# raw total energy: -5.80 eV/atom